Density functional theory data (GGA-PBEsol) for an optimized crystal structure of Re2RhSe.

Computed properties:
DOS(E_F)   3.062 states/eV per cell
Final energy   -9.225 eV/atom
ρ   16.06 g/cm³

Cell and atoms, written as POSCAR:
```
Re2RhSe
1.0
4.435 0.000 0.000
0.000 4.435 0.000
0.000 0.000 2.913
Re Rh Se
2 1 1
direct
0.000 0.500 0.000 Re
0.500 0.000 0.000 Re
0.000 0.000 0.500 Rh
0.500 0.500 0.500 Se
```



Density functional theory data (GGA-PBEsol) for an optimized crystal structure of YNbB2W.

Computed properties:
DOS(E_F)   4.318 states/eV per cell
Final energy   -6.357 eV/atom
ρ   7.37 g/cm³

Cell and atoms, written as POSCAR:
```
YNbB2W
1.0
4.201 0.000 0.000
0.000 4.201 0.000
0.000 0.000 4.947
Y Nb B W
1 1 2 1
direct
0.000 0.000 0.000 Y
0.000 0.000 0.500 Nb
0.000 0.500 0.000 B
0.500 0.000 0.000 B
0.500 0.500 0.500 W
```



Density functional theory data (GGA-PBEsol) for an optimized crystal structure of Cr2TePt.

Computed properties:
DOS(E_F)   3.260 states/eV per cell
Final energy   -7.403 eV/atom
ρ   11.14 g/cm³

Cell and atoms, written as POSCAR:
```
Cr2TePt
1.0
2.967 0.000 0.000
0.000 3.896 0.000
-1.309 0.000 5.500
Cr Te Pt
2 1 1
direct
0.082 0.000 0.186 Cr
0.918 0.000 0.814 Cr
0.500 0.500 0.500 Te
0.500 0.500 0.000 Pt
```



Density functional theory data (GGA-PBEsol) for an optimized crystal structure of RePtN2.

Computed properties:
DOS(E_F)   1.471 states/eV per cell
Final energy   -9.347 eV/atom
ρ   15.35 g/cm³

Cell and atoms, written as POSCAR:
```
RePtN2
1.0
1.400 0.808 6.521
-1.400 0.808 6.521
0.000 -1.617 6.521
Re Pt N
1 1 2
direct
0.000 0.000 0.000 Re
0.500 0.500 0.500 Pt
0.399 0.399 0.399 N
0.601 0.601 0.601 N
```



Density functional theory data (GGA-PBEsol) for an optimized crystal structure of LiAu.

Computed properties:
DOS(E_F)   1.609 states/eV per cell
Final energy   -3.399 eV/atom
ρ   11.20 g/cm³

Cell and atoms, written as POSCAR:
```
LiAu
1.0
4.964 -1.387 0.000
4.964 1.387 0.000
-2.061 0.000 6.581
Li Au
3 3
direct
0.000 0.000 0.000 Li
0.065 0.065 0.622 Li
0.360 0.360 0.287 Li
0.346 0.346 0.669 Au
0.635 0.635 0.331 Au
0.721 0.721 0.953 Au
```



Density functional theory data (GGA-PBEsol) for an optimized crystal structure of HfTa3B.

Computed properties:
DOS(E_F)   5.203 states/eV per cell
Final energy   -8.167 eV/atom
ρ   11.10 g/cm³

Cell and atoms, written as POSCAR:
```
HfTa3B
1.0
4.785 0.000 0.000
0.000 4.785 0.000
0.000 0.000 4.785
Hf Ta B
1 3 1
direct
0.000 0.000 0.000 Hf
0.000 0.000 0.500 Ta
0.000 0.500 0.000 Ta
0.500 0.000 0.000 Ta
0.500 0.500 0.500 B
```



Q: Number 2 is which compound?
A: YNbB2W